No. 1
VASP calculation (PBE-GGA) on crystalline SrLiBiSe3 at its relaxed geometry.

Summary:
Its energy relative to the elements, uncorrected is -1137 meV/atom. The density is 5.4 g cm⁻³. For the density of states at the Fermi level, the calculation gives 0.00 states/eV/f.u. As for the magnetization: 0.0 μB per formula unit.

```
data_SrLiBiSe3
_space_group_name_H-M_alt 'P 1'
_space_group_IT_number 1
_cell_length_a 4.2281
_cell_length_b 8.8557
_cell_length_c 9.1089
_cell_angle_alpha 103.30
_cell_angle_beta 90.00
_cell_angle_gamma 90.00
loop_
_space_group_symop_operation_xyz
'x,y,z'
loop_
_atom_site_label
_atom_site_type_symbol
_atom_site_fract_x
_atom_site_fract_y
_atom_site_fract_z
Sr1 Sr 0.2500 0.1898 0.2406
Sr2 Sr 0.7500 0.8102 0.7594
Li1 Li 0.2500 0.0871 0.5898
Li2 Li 0.7500 0.9129 0.4102
Bi1 Bi 0.2500 0.6711 0.1621
Bi2 Bi 0.7500 0.3289 0.8379
Se1 Se 0.7500 0.8949 0.1237
Se2 Se 0.2500 0.1051 0.8763
Se3 Se 0.2500 0.7929 0.4941
Se4 Se 0.7500 0.2071 0.5059
Se5 Se 0.7500 0.4347 0.1710
Se6 Se 0.2500 0.5653 0.8290
```

=====

No. 2
VASP calculation (PBE-GGA) on crystalline PuTh2Pb at its relaxed geometry.

Summary:
The value obtained for the energy above the most stable polymorph in this dataset is 0.105 eV per atom. The density is 12.8 g cm⁻³. For the energy relative to the elements, the calculation gives -0.032 eV per atom. For the density of states at the Fermi level, the calculation gives 9.85 states/eV/f.u. As for the magnetization: 6.6 μB per formula unit.

```
data_PuTh2Pb
_space_group_name_H-M_alt 'P 1'
_space_group_IT_number 1
_cell_length_a 4.0923
_cell_length_b 4.0923
_cell_length_c 7.1036
_cell_angle_alpha 90.00
_cell_angle_beta 90.00
_cell_angle_gamma 90.00
loop_
_space_group_symop_operation_xyz
'x,y,z'
loop_
_atom_site_label
_atom_site_type_symbol
_atom_site_fract_x
_atom_site_fract_y
_atom_site_fract_z
Pb1 Pb 0.5000 0.5000 0.0000
Th1 Th 0.0000 0.0000 0.7533
Th2 Th 0.0000 0.0000 0.2467
Pu1 Pu 0.5000 0.5000 0.5000
```

=====

- Number 2 is which compound?
  PuTh2Pb